# PBE K3MnBi2Se6, optimized geometry
# VASP energy in eV per cell: -50.138
# Raw formation energy in eV/atom: -0.751
# Space group: C2/m
# Total magnetic moment in μB/cell: 4.00
data_K3MnBi2Se6
_symmetry_space_group_name_H-M 'P 1'
_symmetry_Int_Tables_number 1
_cell_length_a 7.2851
_cell_length_b 7.2851
_cell_length_c 8.0420
_cell_angle_alpha 98.67
_cell_angle_beta 98.67
_cell_angle_gamma 120.33
loop_
_symmetry_equiv_pos_as_xyz
'x,y,z'
loop_
_atom_site_label
_atom_site_type_symbol
_atom_site_fract_x
_atom_site_fract_y
_atom_site_fract_z
K1 K 0.0000 0.0000 0.0000
K2 K 0.3263 0.6737 0.0000
K3 K 0.6737 0.3263 0.0000
Mn1 Mn 0.5000 0.5000 0.5000
Bi1 Bi 0.1671 0.8329 0.5000
Bi2 Bi 0.8329 0.1671 0.5000
Se1 Se 0.1290 0.4330 0.2991
Se2 Se 0.2699 0.2699 0.6967
Se3 Se 0.4330 0.1290 0.2991
Se4 Se 0.5670 0.8710 0.7009
Se5 Se 0.7301 0.7301 0.3033
Se6 Se 0.8710 0.5670 0.7009